No. 1
## NaNi2O4 (PBE with a Hubbard U)

Data for an optimized crystal structure of NaNi2O4.

a b c (Å): 8.783 2.875 10.702
angles (deg): 90.00 90.00 90.00
Element x y z (fractional)
Na 0.239 0.250 0.166
Na 0.261 0.750 0.666
Na 0.739 0.250 0.334
Na 0.761 0.750 0.834
Ni 0.061 0.250 0.388
Ni 0.086 0.250 0.903
Ni 0.414 0.750 0.403
Ni 0.439 0.750 0.888
Ni 0.561 0.250 0.112
Ni 0.586 0.250 0.597
Ni 0.914 0.750 0.097
Ni 0.939 0.750 0.612
O 0.033 0.750 0.793
O 0.078 0.250 0.576
O 0.116 0.750 0.021
O 0.199 0.750 0.347
O 0.301 0.250 0.847
O 0.384 0.250 0.521
O 0.422 0.750 0.076
O 0.467 0.250 0.293
O 0.533 0.750 0.707
O 0.578 0.250 0.924
O 0.616 0.750 0.479
O 0.699 0.750 0.153
O 0.801 0.250 0.653
O 0.884 0.250 0.979
O 0.922 0.750 0.424
O 0.967 0.250 0.207

calculated total energy: -32.2 eV/f.u.
space-group type: No. 62
offset from the most stable computed form: 46.1 meV/atom

***

No. 2
## NaNi3O4 (PBE with a Hubbard U)

Data for an optimized crystal structure of NaNi3O4.

a b c (Å): 3.004 5.216 10.002
angles (deg): 86.31 82.47 89.13
Element x y z (fractional)
Na 0.143 0.379 0.250
Na 0.857 0.621 0.750
Ni 0.000 0.000 0.500
Ni 0.249 0.749 0.996
Ni 0.366 0.123 0.752
Ni 0.500 0.500 0.500
Ni 0.634 0.877 0.248
Ni 0.751 0.251 0.004
O 0.059 0.712 0.386
O 0.192 0.042 0.122
O 0.302 0.411 0.891
O 0.408 0.836 0.609
O 0.592 0.164 0.391
O 0.698 0.589 0.109
O 0.808 0.958 0.878
O 0.941 0.288 0.614

calculated total energy: -37.4 eV/f.u.
space-group type: No. 2